[1]
## Sc2Au2O5 (PBE-GGA)

Data for a geometry-optimized Sc2Au2O5 structure.

E, eV per atom: -5.762
Relative energy among the computed polymorphs, meV/atom: 629
Size of the total moment, μB/cell: 0.456

Cell: 6.782 4.125 4.125 Å, 90.00 90.00 90.00°
Site moments in Bohr magnetons follow the coordinates.
Fractional positions:
O 0.216 0.000 0.500  0.00
O 0.784 0.500 0.000  0.00
O 0.784 0.000 0.500  0.00
O 0.216 0.500 0.000  0.00
O 0.500 0.500 0.500  0.00
Au 0.809 0.500 0.500  0.01
Au 0.191 0.500 0.500  0.01
Sc 0.000 0.000 0.000  0.11
Sc 0.500 0.000 0.000  0.24

=====

[2]
## K2DyY2Mg3Cd (PBE-GGA)

Data for a geometry-optimized K2DyY2Mg3Cd structure.

E, eV per atom: -2.397
Size of the total moment, μB/cell: 0.043

Cell: 4.874 8.161 8.161 Å, 119.23 90.00 90.00°
Fractional positions:
Mg 0.500 0.218 0.001
Mg 0.500 0.001 0.218
Mg 0.500 0.787 0.787
Y 0.000 0.625 0.999
Y 0.000 0.999 0.625
Cd 0.000 0.001 0.001
Dy 0.000 0.369 0.369
K 0.500 0.666 0.334
K 0.500 0.334 0.666

=====

[3]
## Zr2Ge2Os (PBE-GGA)

Data for a geometry-optimized Zr2Ge2Os structure.

E, eV per atom: -8.170
Size of the total moment, μB/cell: 0.007

Cell: 6.491 6.491 4.201 Å, 90.00 90.00 90.00°
Fractional positions:
Zr 0.327 0.173 0.500
Zr 0.673 0.827 0.500
Zr 0.827 0.327 0.500
Zr 0.173 0.673 0.500
Ge 0.638 0.138 0.000
Ge 0.862 0.638 0.000
Ge 0.362 0.862 0.000
Ge 0.138 0.362 0.000
Os 0.000 0.000 0.000
Os 0.500 0.500 0.000